UTc2Sn | GGA-PBE | optimized geometry

a b c (Å): 4.7031 4.7031 4.7031
angles (deg): 60.00 60.00 60.00
Last column: magnetic moment on the atom in μB.
Positions (direct):
U1 0.0000 0.0000 0.0000  0.98
Sn1 0.5000 0.5000 0.5000  0.00
Tc1 0.7500 0.7500 0.7500  -0.17
Tc2 0.2500 0.2500 0.2500  -0.17

Excess energy over the best structure of this formula in the dataset ... 0.106 eV/atom
Space-group type ... No. 225



V12TcSn3 | GGA-PBE | optimized geometry

a b c (Å): 4.9123 4.9195 9.8613
angles (deg): 90.00 90.00 90.00
Positions (direct):
V1 0.5000 0.0000 0.3840
V2 0.5000 0.0000 0.8700
V3 0.7430 0.5000 0.0000
V4 0.7592 0.5000 0.5000
V5 0.0000 0.7596 0.2609
V6 0.0000 0.7596 0.7391
V7 0.5000 0.0000 0.1300
V8 0.5000 0.0000 0.6160
V9 0.2570 0.5000 0.0000
V10 0.2408 0.5000 0.5000
V11 0.0000 0.2404 0.2609
V12 0.0000 0.2404 0.7391
Tc1 0.0000 0.0000 0.5000
Sn1 0.5000 0.5000 0.2510
Sn2 0.5000 0.5000 0.7490
Sn3 0.0000 0.0000 0.0000

Space-group type ... No. 47



V4Tc2Sn | GGA-PBE | optimized geometry

a b c (Å): 4.7579 4.7579 7.0062
angles (deg): 70.15 70.15 90.00
Last column: magnetic moment on the atom in μB.
Positions (direct):
V1 0.2132 0.2132 0.5736  0.97
V2 0.7868 0.7868 0.4264  0.97
V3 0.0000 0.5000 0.0000  0.63
V4 0.5000 0.0000 0.0000  0.63
Sn1 0.0000 0.0000 0.0000  -0.03
Tc1 0.3879 0.3879 0.2242  -0.48
Tc2 0.6121 0.6121 0.7758  -0.48

Space-group type ... No. 139



VTcSn2 | GGA-PBE | optimized geometry

a b c (Å): 4.0589 4.0589 10.1548
angles (deg): 78.47 78.47 90.00
Last column: magnetic moment on the atom in μB.
Positions (direct):
Tc1 0.0000 0.0000 0.0000  -0.88
Tc2 0.7500 0.2500 0.5000  -0.88
Sn1 0.6242 0.1250 0.2500  0.01
Sn2 0.1258 0.6250 0.2500  0.01
Sn3 0.3750 0.3758 0.7500  0.01
Sn4 0.8750 0.8742 0.7500  0.01
V1 0.5000 0.5000 0.0000  1.64
V2 0.2500 0.7500 0.5000  1.64

Excess energy over the best structure of this formula in the dataset ... 0.430 eV/atom
Space-group type ... No. 122



VTcSn2 | GGA-PBE | optimized geometry

a b c (Å): 3.0024 3.0024 10.1141
angles (deg): 81.46 81.46 60.00
Last column: magnetic moment on the atom in μB.
Positions (direct):
V1 0.5000 0.5000 0.5000  0.04
Sn1 0.0911 0.0911 0.7268  0.01
Sn2 0.9089 0.9089 0.2732  0.01
Tc1 0.0000 0.0000 0.0000  0.88

Excess energy over the best structure of this formula in the dataset ... 0.477 eV/atom
Space-group type ... No. 166



VTc2Sn2 | GGA-PBE | optimized geometry

a b c (Å): 6.5246 6.5246 4.2176
angles (deg): 90.00 90.00 90.00
Positions (direct):
Tc1 0.3595 0.8595 0.0000
Tc2 0.8595 0.6405 0.0000
Tc3 0.6405 0.1405 0.0000
Tc4 0.1405 0.3595 0.0000
Sn1 0.1708 0.6708 0.5000
Sn2 0.6708 0.8292 0.5000
Sn3 0.8292 0.3292 0.5000
Sn4 0.3292 0.1708 0.5000
V1 0.0000 0.0000 0.0000
V2 0.5000 0.5000 0.0000

Space-group type ... No. 127



V2TcSn | GGA-PBE | optimized geometry

a b c (Å): 3.0292 3.0292 8.4630
angles (deg): 79.69 79.69 60.00
Last column: magnetic moment on the atom in μB.
Positions (direct):
V1 0.2599 0.2599 0.2202  0.46
V2 0.7401 0.7401 0.7798  0.46
Sn1 0.5000 0.5000 0.5000  -0.01
Tc1 0.0000 0.0000 0.0000  -0.16

Space-group type ... No. 166



V2TcSn | GGA-PBE | optimized geometry

a b c (Å): 3.3123 3.3123 5.7327
angles (deg): 90.00 90.00 90.00
Positions (direct):
V1 0.0000 0.0000 0.7853
V2 0.0000 0.0000 0.2147
Sn1 0.5000 0.5000 0.5000
Tc1 0.5000 0.5000 0.0000

Space-group type ... No. 123



V3TcSn | GGA-PBE | optimized geometry

a b c (Å): 4.5620 4.5620 4.5620
angles (deg): 90.00 90.00 90.00
Last column: magnetic moment on the atom in μB.
Positions (direct):
Tc1 0.0000 0.0000 0.0000  -0.04
Sn1 0.5000 0.5000 0.5000  -0.01
V1 0.0000 0.5000 0.0000  0.19
V2 0.0000 0.0000 0.5000  0.19
V3 0.5000 0.0000 0.0000  0.19

Excess energy over the best structure of this formula in the dataset ... 0.000 eV/atom
Space-group type ... No. 221



V2TcSn | GGA-PBE | optimized geometry

a b c (Å): 7.2027 7.2027 5.7621
angles (deg): 51.32 51.32 90.00
Positions (direct):
Tc1 0.5000 0.5000 0.0000
Tc2 0.2500 0.7500 0.5000
Sn1 0.0000 0.0000 0.0000
Sn2 0.7500 0.2500 0.5000
V1 0.5701 0.1250 0.2500
V2 0.1799 0.6250 0.2500
V3 0.3750 0.4299 0.7500
V4 0.8750 0.8201 0.7500

Space-group type ... No. 122



V2TcSn2 | GGA-PBE | optimized geometry

a b c (Å): 3.9505 3.9505 6.7448
angles (deg): 72.97 72.97 90.00
Last column: magnetic moment on the atom in μB.
Positions (direct):
Tc1 0.0000 0.0000 0.0000  1.30
Sn1 0.7500 0.2500 0.5000  -0.01
Sn2 0.2500 0.7500 0.5000  -0.01
V1 0.4200 0.4200 0.1601  -0.24
V2 0.5800 0.5800 0.8399  -0.24

Excess energy over the best structure of this formula in the dataset ... 0.522 eV/atom
Space-group type ... No. 139



VTcSn2 | GGA-PBE | optimized geometry

a b c (Å): 4.6536 4.6536 4.6536
angles (deg): 60.00 60.00 60.00
Last column: magnetic moment on the atom in μB.
Positions (direct):
Tc1 0.5000 0.5000 0.5000  -0.08
Sn1 0.2500 0.2500 0.2500  0.01
Sn2 0.7500 0.7500 0.7500  0.01
V1 0.0000 0.0000 0.0000  2.15

Excess energy over the best structure of this formula in the dataset ... 0.000 eV/atom
Space-group type ... No. 225



VTcSn3 | GGA-PBE | optimized geometry

a b c (Å): 5.1049 5.1049 5.1049
angles (deg): 90.00 90.00 90.00
Last column: magnetic moment on the atom in μB.
Positions (direct):
Tc1 0.5000 0.5000 0.5000  3.45
Sn1 0.0000 0.5000 0.0000  0.00
Sn2 0.0000 0.0000 0.5000  0.00
Sn3 0.5000 0.0000 0.0000  0.00
V1 0.0000 0.0000 0.0000  1.26

Space-group type ... No. 221



V4TcSn | GGA-PBE | optimized geometry

a b c (Å): 4.9780 4.9780 4.9780
angles (deg): 60.00 60.00 60.00
Positions (direct):
V1 0.6255 0.6255 0.1236
V2 0.6255 0.1236 0.6255
V3 0.6255 0.6255 0.6255
V4 0.1236 0.6255 0.6255
Sn1 0.0000 0.0000 0.0000
Tc1 0.2500 0.2500 0.2500

Space-group type ... No. 216



V2TcSn2 | GGA-PBE | optimized geometry

a b c (Å): 6.4159 6.4159 4.3110
angles (deg): 90.00 90.00 90.00
Positions (direct):
Tc1 0.0000 0.0000 0.0000
Tc2 0.5000 0.5000 0.0000
Sn1 0.1754 0.6754 0.5000
Sn2 0.6754 0.8246 0.5000
Sn3 0.8246 0.3246 0.5000
Sn4 0.3246 0.1754 0.5000
V1 0.3639 0.8639 0.0000
V2 0.8639 0.6361 0.0000
V3 0.6361 0.1361 0.0000
V4 0.1361 0.3639 0.0000

Excess energy over the best structure of this formula in the dataset ... 0.000 eV/atom
Space-group type ... No. 127



TcSn3W | GGA-PBE | optimized geometry

a b c (Å): 5.2383 5.2383 5.2383
angles (deg): 90.00 90.00 90.00
Last column: magnetic moment on the atom in μB.
Positions (direct):
Sn1 0.0000 0.5000 0.0000  0.00
Sn2 0.0000 0.0000 0.5000  0.01
Sn3 0.5000 0.0000 0.0000  0.02
W1 0.0000 0.0000 0.0000  0.48
Tc1 0.5000 0.5000 0.5000  3.57

Excess energy over the best structure of this formula in the dataset ... 0.000 eV/atom
Space-group type ... No. 221



Tc2SnW | GGA-PBE | optimized geometry

a b c (Å): 3.1855 3.1855 6.4001
angles (deg): 90.00 90.00 90.00
Positions (direct):
Sn1 0.5000 0.5000 0.5000
W1 0.5000 0.5000 0.0000
Tc1 0.0000 0.0000 0.7632
Tc2 0.0000 0.0000 0.2368

Space-group type ... No. 123



Tc2SnW | GGA-PBE | optimized geometry

a b c (Å): 7.3578 7.3578 5.8956
angles (deg): 51.39 51.39 90.00
Positions (direct):
Sn1 0.5000 0.5000 0.0000
Sn2 0.2500 0.7500 0.5000
W1 0.0000 0.0000 0.0000
W2 0.7500 0.2500 0.5000
Tc1 0.6744 0.1250 0.2500
Tc2 0.0756 0.6250 0.2500
Tc3 0.3750 0.3256 0.7500
Tc4 0.8750 0.9244 0.7500

Space-group type ... No. 122



TcSnW | GGA-PBE | optimized geometry

a b c (Å): 4.5143 4.5165 6.0308
angles (deg): 90.00 90.00 90.00
Positions (direct):
W1 0.5000 0.0000 0.6987
W2 0.0000 0.5000 0.3013
Tc1 0.0000 0.0000 0.5000
Tc2 0.5000 0.5000 0.5000
Sn1 0.5000 0.5000 0.9998
Sn2 0.0000 0.0000 0.0002

Space-group type ... No. 129



YTcSn2 | GGA-PBE | optimized geometry

a b c (Å): 4.2507 4.2507 10.9178
angles (deg): 78.77 78.77 90.00
Positions (direct):
Y1 0.5000 0.5000 0.0000
Y2 0.2500 0.7500 0.5000
Sn1 0.6384 0.1250 0.2500
Sn2 0.1116 0.6250 0.2500
Sn3 0.3750 0.3616 0.7500
Sn4 0.8750 0.8884 0.7500
Tc1 0.0000 0.0000 0.0000
Tc2 0.7500 0.2500 0.5000

Excess energy over the best structure of this formula in the dataset ... 0.427 eV/atom
Space-group type ... No. 122



| no. | E_tot (eV/atom) | formation energy from the elements (eV/f.u.) |
| --- | --- | --- |
| 1 | -9.082 | -0.306 |
| 2 | -8.337 | -1.594 |
| 3 | -7.352 | 9.742 |
| 4 | -6.281 | 2.367 |
| 5 | -6.233 | 2.557 |
| 6 | -7.357 | 1.069 |
| 7 | -7.970 | 0.728 |
| 8 | -8.153 | -0.007 |
| 9 | -7.490 | 4.274 |
| 10 | -7.707 | 1.777 |
| 11 | -6.501 | 4.104 |
| 12 | -6.711 | 0.648 |
| 13 | -5.305 | 4.969 |
| 14 | -8.521 | -0.286 |
| 15 | -7.023 | 1.495 |
| 16 | -5.801 | 6.321 |
| 17 | -9.377 | 0.180 |
| 18 | -8.605 | 3.267 |
| 19 | -8.655 | 1.356 |
| 20 | -6.018 | 0.762 |